AlMo3: optimized geometry, PBEsol.

Cell lengths 4.918, 4.918, 4.918 Å; angles 90.00, 90.00, 90.00 degrees
Fractional positions:
Mo1 0.500 0.750 0.000
Al1 0.500 0.500 0.500
Al2 0.000 0.000 0.000
Mo2 0.500 0.250 0.000
Mo3 0.750 0.000 0.500
Mo4 0.000 0.500 0.250
Mo5 0.250 0.000 0.500
Mo6 0.000 0.500 0.750

Computed properties:
The calculation puts the density of states at the Fermi level at 3.19 states/eV per cell. As for the calculated volume: 119 Å³/cell. The calculation puts the size of the total moment at 0.000 μB per formula unit. The total energy comes out at -80.7 eV per cell. For the energy above the most stable polymorph in this dataset, the calculation gives 0.0000 eV/atom. The value obtained for the formation enthalpy at 0 K is -238 meV per atom. The space-group type is Pm-3n.